# meta-GGA SCAN Ag4Sn3S8, single point on PBEsol structure
# - VASP energy (eV per atom) = -20.973
# - DOS at the Fermi energy (states/eV/atom) = 0.07
data_Ag4Sn3S8
_space_group_name_H-M_alt 'P 41 3 2'
_space_group_IT_number 213
_space_group_name_Hall 'P 4bd 2ab 3'
_cell_length_a 10.639
_cell_length_b 10.639
_cell_length_c 10.639
_cell_angle_alpha 90.00
_cell_angle_beta 90.00
_cell_angle_gamma 90.00
loop_
_atom_site_label
_atom_site_fract_x
_atom_site_fract_y
_atom_site_fract_z
_atom_site_occupancy
Ag1 0.114 0.125 0.864 1
Ag2 0.125 0.625 0.875 1
Sn1 0.120 0.370 0.125 1
S1 0.111 0.366 0.884 1
S2 0.123 0.123 0.123 1

---

# meta-GGA SCAN AgSn3S, single point on PBEsol structure
# - VASP energy (eV per atom) = -29.184
# - DOS at the Fermi energy (states/eV/atom) = 0.49
data_AgSn3S
_space_group_name_H-M_alt 'P m -3 m'
_space_group_IT_number 221
_space_group_name_Hall '-P 4 2 3'
_cell_length_a 5.209
_cell_length_b 5.209
_cell_length_c 5.209
_cell_angle_alpha 90.00
_cell_angle_beta 90.00
_cell_angle_gamma 90.00
loop_
_atom_site_label
_atom_site_fract_x
_atom_site_fract_y
_atom_site_fract_z
_atom_site_occupancy
Ag1 0.000 0.000 0.000 1
Sn1 0.000 0.000 0.500 1
S1 0.500 0.500 0.500 1

---

# meta-GGA SCAN TaAg7S6, single point on PBEsol structure
# - offset from the most stable computed form (eV/atom) = 0.000
# - VASP energy (eV per atom) = -24.902
data_TaAg7S6
_space_group_name_H-M_alt 'P 1 c 1'
_space_group_IT_number 7
_cell_length_a 7.568
_cell_length_b 7.111
_cell_length_c 12.777
_cell_angle_alpha 90.00
_cell_angle_beta 125.71
_cell_angle_gamma 90.00
loop_
_space_group_symop_operation_xyz
'x,y,z'
'x,-y,z+1/2'
loop_
_atom_site_label
_atom_site_fract_x
_atom_site_fract_y
_atom_site_fract_z
_atom_site_occupancy
Ta1 0.000 0.245 0.000 1
Ag1 0.014 0.208 0.528 1
Ag2 0.057 0.008 0.736 1
Ag3 0.273 0.467 0.489 1
Ag4 0.333 0.337 0.295 1
Ag5 0.464 0.118 0.656 1
Ag6 0.502 0.033 0.937 1
Ag7 0.951 0.422 0.706 1
S1 0.302 0.269 0.765 1
S2 0.377 0.242 0.127 1
S3 0.577 0.278 0.530 1
S4 0.829 0.253 0.102 1
S5 0.860 0.013 0.848 1
S6 0.868 0.491 0.371 1

---

The formation energy (no corrections) results, record by record, are as follows: -0.29, 0.57, -0.34 eV per atom.